A relaxed structure of RbTiAl, computed with PBE.

Results
V in Å³ per atom: 36.72
SG: P4/nmm (129)
Energy above the lowest structure with this stoichiometry in meV per atom: 425
Total magnetic moment in μB/atom: 0.4527

```
data_RbTiAl
_space_group_name_H-M_alt 'P 1'
_space_group_IT_number 1
_space_group_name_Hall 'P 1'
_cell_length_a 5.118
_cell_length_b 5.118
_cell_length_c 8.413
_cell_angle_alpha 90.00
_cell_angle_beta 90.00
_cell_angle_gamma 90.00
loop_
_atom_site_label
_atom_site_fract_x
_atom_site_fract_y
_atom_site_fract_z
_atom_site_occupancy
Al1 0.000 0.000 0.500 1
Al2 0.500 0.500 0.500 1
Rb1 0.000 0.500 0.155 1
Rb2 0.500 0.000 0.845 1
Ti1 0.000 0.500 0.573 1
Ti2 0.500 0.000 0.427 1
```


A relaxed structure of RbTi3Al, computed with PBE.

Results
V in Å³ per atom: 20.48
SG: Pm-3m (221)
Energy above the lowest structure with this stoichiometry in meV per atom: 814
Total magnetic moment in μB/atom: 0.3680

```
data_RbTi3Al
_space_group_name_H-M_alt 'P 1'
_space_group_IT_number 1
_space_group_name_Hall 'P 1'
_cell_length_a 4.678
_cell_length_b 4.678
_cell_length_c 4.678
_cell_angle_alpha 90.00
_cell_angle_beta 90.00
_cell_angle_gamma 90.00
loop_
_atom_site_label
_atom_site_fract_x
_atom_site_fract_y
_atom_site_fract_z
_atom_site_occupancy
Al1 0.500 0.500 0.500 1
Rb1 0.000 0.000 0.000 1
Ti1 0.000 0.500 0.000 1
Ti2 0.000 0.000 0.500 1
Ti3 0.500 0.000 0.000 1
```


A relaxed structure of RbTiAl, computed with PBE.

Results
V in Å³ per atom: 35.62
SG: P1 (1)
Energy above the lowest structure with this stoichiometry in meV per atom: 133
Total magnetic moment in μB/atom: 0.3189

```
data_RbTiAl
_space_group_name_H-M_alt 'P 1'
_space_group_IT_number 1
_space_group_name_Hall 'P 1'
_cell_length_a 4.924
_cell_length_b 12.259
_cell_length_c 3.897
_cell_angle_alpha 89.59
_cell_angle_beta 66.69
_cell_angle_gamma 82.09
loop_
_atom_site_label
_atom_site_fract_x
_atom_site_fract_y
_atom_site_fract_z
_atom_site_occupancy
Al1 0.818 0.583 0.415 1
Al2 0.686 0.438 0.983 1
Rb1 0.863 0.871 0.886 1
Rb2 0.173 0.232 0.245 1
Ti1 0.394 0.644 0.125 1
Ti2 0.250 0.514 0.700 1
```


Q: What is the formula in the first record?
A: RbTiAl